Entry 1:
A relaxed structure of CeErLuHf. Source: Alexandria via LeMat-Bulk, functional PBE.

Output
Spin magnetization (μB/f.u.): 0.00
Density of states at the Fermi level (states/eV per cell): 33.884
Theoretical density (Mg/m³): 10.0
VASP energy (eV/atom): -6.011

Cell and atoms, written as POSCAR:
```
CeErLuHf
1.0
7.6026 0.0000 0.0000
0.0000 7.6026 0.0000
0.0000 0.0000 7.6026
Ce Er Lu Hf
4 4 4 4
Direct
0.0000 0.0000 0.0000
0.0000 0.5000 0.5000
0.5000 0.0000 0.5000
0.5000 0.5000 0.0000
0.0000 0.0000 0.5000
0.0000 0.5000 0.0000
0.5000 0.0000 0.0000
0.5000 0.5000 0.5000
0.2500 0.2500 0.2500
0.2500 0.7500 0.7500
0.7500 0.2500 0.7500
0.7500 0.7500 0.2500
0.2500 0.2500 0.7500
0.2500 0.7500 0.2500
0.7500 0.2500 0.2500
0.7500 0.7500 0.7500
```

Entry 2:
A relaxed structure of CsNa2TlCo. Source: Alexandria via LeMat-Bulk, functional PBE.

Output
Spin magnetization (μB/f.u.): 0.60
Density of states at the Fermi level (states/eV per cell): 3.776
Theoretical density (Mg/m³): 3.9
VASP energy (eV/atom): -1.487

Cell and atoms, written as POSCAR:
```
CsNa2TlCo
1.0
6.2049 0.0000 0.0000
0.0000 6.2049 0.0000
0.0000 0.0000 4.8815
Cs Na Tl Co
1 2 1 1
Direct
0.0000 0.0000 0.0000
0.0000 0.5000 0.0000
0.5000 0.0000 0.0000
0.5000 0.5000 0.5000
0.0000 0.0000 0.5000
```

Entry 3:
A relaxed structure of LaAs2. Source: Alexandria via LeMat-Bulk, functional PBE.

Output
Spin magnetization (μB/f.u.): 0.00
Density of states at the Fermi level (states/eV per cell): 12.476
Theoretical density (Mg/m³): 5.5
VASP energy (eV/atom): -5.227

Cell and atoms, written as POSCAR:
```
LaAs2
1.0
7.0492 0.0000 0.0000
0.0000 7.0492 0.0000
0.0000 0.0000 7.0492
La As
4 8
Direct
0.0000 0.0000 0.0000
0.0000 0.5000 0.5000
0.5000 0.0000 0.5000
0.5000 0.5000 0.0000
0.2500 0.2500 0.2500
0.2500 0.2500 0.7500
0.2500 0.7500 0.2500
0.2500 0.7500 0.7500
0.7500 0.2500 0.2500
0.7500 0.2500 0.7500
0.7500 0.7500 0.2500
0.7500 0.7500 0.7500
```

Entry 4:
A relaxed structure of YAg2Ir. Source: Alexandria via LeMat-Bulk, functional PBE.

Output
Spin magnetization (μB/f.u.): 0.00
Density of states at the Fermi level (states/eV per cell): 2.618
Theoretical density (Mg/m³): 10.4
VASP energy (eV/atom): -5.306

Cell and atoms, written as POSCAR:
```
YAg2Ir
1.0
5.5727 0.0000 0.0000
0.0000 10.4005 0.0000
-1.8647 0.0000 2.7348
Y Ag Ir
2 4 2
Direct
0.0000 0.0000 0.0000
0.5000 0.5000 0.0000
0.2500 0.2500 0.5000
0.2500 0.7500 0.5000
0.7500 0.2500 0.5000
0.7500 0.7500 0.5000
0.0000 0.5000 0.0000
0.5000 0.0000 0.0000
```

Entry 5:
A relaxed structure of PmPr6Ho. Source: Alexandria via LeMat-Bulk, functional PBE.

Output
Spin magnetization (μB/f.u.): 0.00
Density of states at the Fermi level (states/eV per cell): 13.877
Theoretical density (Mg/m³): 6.8
VASP energy (eV/atom): -4.736

Cell and atoms, written as POSCAR:
```
PmPr6Ho
1.0
5.2072 0.0000 0.0000
0.0000 5.2072 0.0000
0.0000 0.0000 10.4132
Pm Pr Ho
1 6 1
Direct
0.0000 0.0000 0.0000
0.0000 0.5000 0.2519
0.0000 0.5000 0.7481
0.5000 0.0000 0.2519
0.5000 0.0000 0.7481
0.5000 0.5000 0.0000
0.5000 0.5000 0.5000
0.0000 0.0000 0.5000
```

Entry 6:
A relaxed structure of PmNd2Y3As6. Source: Alexandria via LeMat-Bulk, functional PBE.

Output
Spin magnetization (μB/f.u.): 0.00
Density of states at the Fermi level (states/eV per cell): 1.774
Theoretical density (Mg/m³): 6.1
VASP energy (eV/atom): -6.664

Cell and atoms, written as POSCAR:
```
PmNd2Y3As6
1.0
9.1348 -2.0980 0.0000
9.1348 2.0980 0.0000
-1.9127 0.0000 8.1599
Pm Nd Y As
1 2 3 6
Direct
0.0000 0.0000 0.0000
0.3335 0.3335 0.6669
0.6665 0.6665 0.3331
0.0000 0.0000 0.5000
0.3333 0.3333 0.1665
0.6667 0.6667 0.8335
0.1647 0.1647 0.5882
0.1681 0.1681 0.0782
0.4980 0.4980 0.2533
0.5020 0.5020 0.7467
0.8319 0.8319 0.9218
0.8353 0.8353 0.4118
```

Entry 7:
A relaxed structure of HgSbTeCl. Source: Alexandria via LeMat-Bulk, functional PBE.

Output
Spin magnetization (μB/f.u.): 0.00
Density of states at the Fermi level (states/eV per cell): 0.178
Theoretical density (Mg/m³): 6.6
VASP energy (eV/atom): -2.535
ΔE_f (raw) (eV per atom): -0.182

Cell and atoms, written as POSCAR:
```
HgSbTeCl
1.0
7.1509 0.0000 0.0000
0.0000 4.1289 0.0000
-2.3959 0.0000 8.3341
Hg Sb Te Cl
2 2 2 2
Direct
0.0000 0.0000 0.0000
0.5000 0.5000 0.0000
0.2631 0.5000 0.2900
0.7631 0.0000 0.2900
0.1678 0.0000 0.5026
0.6678 0.5000 0.5026
0.0869 0.5000 0.7598
0.5869 0.0000 0.7598
```

Entry 8:
A relaxed structure of Na5Pt. Source: Alexandria via LeMat-Bulk, functional PBE.

Output
Spin magnetization (μB/f.u.): 0.00
Density of states at the Fermi level (states/eV per cell): 1.279
Theoretical density (Mg/m³): 3.1
VASP energy (eV/atom): -1.795

Cell and atoms, written as POSCAR:
```
Na5Pt
1.0
5.7630 0.0000 0.0000
-2.8815 4.9909 0.0000
0.0000 0.0000 5.7798
Na Pt
5 1
Direct
0.0000 0.5000 0.0000
0.3333 0.6667 0.5000
0.5000 0.0000 0.0000
0.5000 0.5000 0.0000
0.6667 0.3333 0.5000
0.0000 0.0000 0.5000
```